Record 1
PBE-GGA Ca3ScMn, relaxed; calculated volume = 41.111 Å³/atom; density of states at the Fermi level = 1.34 states/eV/atom; total DFT energy (no corrections) = -3.18 eV/atom; space-group type = Pm-3m, No. 221; ΔH_f (0 K) = 1.118 eV per atom
1.0
5.902 0.000 0.000
0.000 5.902 0.000
0.000 0.000 5.902
Ca Sc Mn
3 1 1
Direct
0.000 0.000 0.500
0.500 0.000 0.000
0.000 0.500 0.000
0.000 0.000 0.000
0.500 0.500 0.500

---

Record 2
PBE-GGA La6Nd2Tm3Mg, relaxed; calculated volume = 33.641 Å³/atom; density of states at the Fermi level = 1.11 states/eV/atom; total DFT energy (no corrections) = -4.50 eV/atom; space-group type = C2/m, No. 12; ΔH_f (0 K) = 0.011 eV per atom
1.0
-3.039 5.484 0.637
1.725 -3.262 5.109
10.713 4.933 -1.767
Tm Mg La Nd
3 1 6 2
Direct
0.166 0.834 0.500
0.834 0.166 0.500
0.500 0.500 0.500
0.000 0.000 0.000
0.246 0.246 0.746
0.916 0.586 0.746
0.414 0.084 0.254
0.084 0.414 0.254
0.586 0.916 0.746
0.754 0.754 0.254
0.333 0.667 0.000
0.667 0.333 0.000

---

Record 3
PBE-GGA InCoAg2, relaxed; calculated volume = 17.290 Å³/atom; density of states at the Fermi level = 1.10 states/eV/atom; total DFT energy (no corrections) = -3.59 eV/atom; space-group type = Pmmm, No. 47; ΔH_f (0 K) = 0.302 eV per atom
1.0
2.921 0.000 0.000
0.000 4.134 0.000
0.000 0.000 5.727
Co Ag In
1 2 1
Direct
0.500 0.500 0.250
0.000 0.000 0.015
0.000 0.000 0.485
0.500 0.500 0.750

---

Record 4
PBE-GGA CdFeTc, relaxed; calculated volume = 15.384 Å³/atom; density of states at the Fermi level = 1.08 states/eV/atom; total DFT energy (no corrections) = -6.25 eV/atom; space-group type = P3m1, No. 156; ΔH_f (0 K) = 0.327 eV per atom
1.0
-1.597 -1.714 -1.524
2.753 -0.444 0.176
-0.987 -3.950 5.477
Tc Fe Cd
1 1 1
Direct
0.333 0.667 0.635
0.667 0.333 0.356
0.000 0.000 0.009

---

Record 5
PBE-GGA Be2CrGa2, relaxed; calculated volume = 12.676 Å³/atom; density of states at the Fermi level = 0.32 states/eV/atom; total DFT energy (no corrections) = -4.34 eV/atom; space-group type = I4/mmm, No. 139; ΔH_f (0 K) = 0.282 eV per atom
1.0
-1.173 2.551 -0.854
-1.225 0.323 2.648
4.805 4.982 3.242
Ga Be Cr
2 2 1
Direct
0.389 0.389 0.221
0.611 0.611 0.779
0.250 0.750 0.500
0.750 0.250 0.500
0.000 0.000 0.000

---

Record 6
PBE-GGA KNa2ZnGa, relaxed; calculated volume = 32.950 Å³/atom; density of states at the Fermi level = 0.34 states/eV/atom; total DFT energy (no corrections) = -1.56 eV/atom; space-group type = P4/mmm, No. 123; ΔH_f (0 K) = 0.048 eV per atom
1.0
-4.687 -2.335 2.635
-1.099 -3.198 -4.788
2.736 -3.535 1.733
Ga K Na Zn
1 1 2 1
Direct
0.000 0.000 0.000
0.500 0.500 0.500
0.000 0.500 0.000
0.500 0.000 0.000
0.000 0.000 0.500

---

Record 7
PBE-GGA NpTlPd4, relaxed; calculated volume = 18.776 Å³/atom; density of states at the Fermi level = 2.60 states/eV/atom; total DFT energy (no corrections) = -6.30 eV/atom; space-group type = F-43m, No. 216; ΔH_f (0 K) = -0.284 eV per atom
1.0
5.421 0.000 0.000
2.711 4.695 0.000
2.711 1.565 4.426
Tl Pd Np
1 4 1
Direct
0.000 0.000 0.000
0.625 0.625 0.625
0.625 0.124 0.625
0.124 0.625 0.625
0.625 0.625 0.124
0.250 0.250 0.250

---

Record 8
PBE-GGA ErTh7Sc3, relaxed; calculated volume = 31.210 Å³/atom; density of states at the Fermi level = 1.64 states/eV/atom; total DFT energy (no corrections) = -6.58 eV/atom; space-group type = C2/m, No. 12; ΔH_f (0 K) = 0.283 eV per atom
1.0
5.674 3.271 -0.023
-5.674 3.271 -0.023
0.000 1.437 9.238
Th Sc Er
7 3 1
Direct
0.552 0.976 0.685
0.448 0.024 0.315
0.976 0.552 0.685
0.024 0.448 0.315
0.500 0.500 0.000
0.883 0.883 0.186
0.117 0.117 0.814
0.225 0.775 0.000
0.775 0.225 0.000
0.000 0.000 0.500
0.500 0.500 0.500

---

Record 9
PBE-GGA LiTl, relaxed; calculated volume = 22.751 Å³/atom; density of states at the Fermi level = 0.23 states/eV/atom; total DFT energy (no corrections) = -2.29 eV/atom; space-group type = P4/mnc, No. 128; ΔH_f (0 K) = -0.153 eV per atom
1.0
-2.586 -2.654 7.675
-5.454 -5.400 -3.705
3.538 -3.549 -0.036
Li Tl
8 8
Direct
0.900 0.237 0.500
0.400 0.263 0.000
0.737 0.400 0.000
0.100 0.763 0.500
0.763 0.900 0.500
0.263 0.600 0.000
0.600 0.737 0.000
0.237 0.100 0.500
0.767 0.563 0.500
0.563 0.233 0.500
0.267 0.937 0.000
0.733 0.063 0.000
0.937 0.733 0.000
0.437 0.767 0.500
0.063 0.267 0.000
0.233 0.437 0.500

---

Record 10
PBE-GGA HoHfPb2, relaxed; calculated volume = 25.445 Å³/atom; density of states at the Fermi level = 0.79 states/eV/atom; total DFT energy (no corrections) = -5.61 eV/atom; space-group type = P4/mmm, No. 123; ΔH_f (0 K) = -0.128 eV per atom
1.0
3.394 0.000 0.000
0.000 3.394 0.000
0.000 0.000 8.835
Ho Hf Pb
1 1 2
Direct
0.500 0.500 0.500
0.500 0.500 0.000
0.000 0.000 0.240
0.000 0.000 0.760

---

Record 11
PBE-GGA SrSi2Pb2, relaxed; calculated volume = 29.387 Å³/atom; density of states at the Fermi level = 0.23 states/eV/atom; total DFT energy (no corrections) = -3.84 eV/atom; space-group type = I4/mmm, No. 139
1.0
-2.026 -0.101 4.816
-2.964 -4.092 -1.333
1.416 -5.442 3.316
Pb Sr Si
2 1 2
Direct
0.355 0.355 0.290
0.645 0.645 0.710
0.000 0.000 0.000
0.750 0.250 0.500
0.250 0.750 0.500

---

Record 12
PBE-GGA Th2ScAl, relaxed; calculated volume = 27.312 Å³/atom; density of states at the Fermi level = 1.59 states/eV/atom; total DFT energy (no corrections) = -6.29 eV/atom; space-group type = P4/mmm, No. 123; ΔH_f (0 K) = -0.058 eV per atom
1.0
-1.024 -3.483 1.645
0.808 -1.858 -3.432
6.498 -0.946 2.042
Th Al Sc
2 1 1
Direct
0.000 0.000 0.770
0.000 0.000 0.230
0.500 0.500 0.000
0.500 0.500 0.500

---

Record 13
PBE-GGA Zn2Ir, relaxed; calculated volume = 14.062 Å³/atom; density of states at the Fermi level = 0.18 states/eV/atom; total DFT energy (no corrections) = -3.97 eV/atom; space-group type = P-3m1, No. 164; ΔH_f (0 K) = -0.165 eV per atom
1.0
-1.621 -3.266 -2.028
1.395 -0.452 3.906
-2.538 0.651 0.982
Zn Ir
2 1
Direct
0.667 0.333 0.537
0.333 0.667 0.463
0.000 0.000 0.000

---

Record 14
PBE-GGA HfTePtI2, relaxed; calculated volume = 34.486 Å³/atom; density of states at the Fermi level = 1.91 states/eV/atom; total DFT energy (no corrections) = -3.95 eV/atom; space-group type = P4/mmm, No. 123
1.0
-2.220 -0.152 5.067
-1.486 -5.269 -0.809
4.931 -1.714 2.109
I Te Hf Pt
2 1 1 1
Direct
0.000 0.500 0.000
0.500 0.000 0.000
0.000 0.000 0.500
0.000 0.000 0.000
0.500 0.500 0.500

---

Record 15
PBE-GGA Ba2TaRu3O12, relaxed; calculated volume = 15.235 Å³/atom; density of states at the Fermi level = 0.57 states/eV/atom; total DFT energy (no corrections) = -7.41 eV/atom; space-group type = R-3m, No. 166
1.0
-4.358 -4.371 4.026
1.876 -2.049 6.826
-3.602 2.558 5.898
O Ru Ba Ta
12 3 2 1
Direct
0.931 0.309 0.309
0.077 0.077 0.670
0.923 0.330 0.923
0.670 0.077 0.077
0.923 0.923 0.330
0.309 0.931 0.309
0.069 0.691 0.691
0.691 0.069 0.691
0.691 0.691 0.069
0.330 0.923 0.923
0.077 0.670 0.077
0.309 0.309 0.931
0.000 0.000 0.500
0.500 0.000 0.000
0.000 0.500 0.000
0.332 0.332 0.332
0.668 0.668 0.668
0.000 0.000 0.000

---

Record 16
PBE-GGA Tm8Sc2In, relaxed; calculated volume = 28.112 Å³/atom; density of states at the Fermi level = 1.49 states/eV/atom; total DFT energy (no corrections) = -4.71 eV/atom; space-group type = C2/m, No. 12; ΔH_f (0 K) = -0.056 eV per atom
1.0
4.832 0.000 0.000
0.000 7.659 0.393
-2.416 -2.807 8.211
Tm In Sc
8 1 2
Direct
0.594 0.449 0.188
0.138 0.184 0.275
0.046 0.724 0.092
0.318 0.088 0.635
0.406 0.551 0.812
0.862 0.816 0.725
0.954 0.276 0.908
0.682 0.912 0.365
0.500 0.000 0.000
0.776 0.366 0.552
0.224 0.634 0.448

---

Record 17
PBE-GGA MnCu4Pt3, relaxed; calculated volume = 14.092 Å³/atom; density of states at the Fermi level = 0.52 states/eV/atom; total DFT energy (no corrections) = -5.52 eV/atom; space-group type = Immm, No. 71; ΔH_f (0 K) = -0.062 eV per atom
1.0
-0.433 -1.482 -2.237
-3.995 -5.998 4.746
-1.977 5.992 -1.935
Pt Cu Mn
3 4 1
Direct
0.000 0.500 0.000
0.776 0.776 0.552
0.224 0.224 0.448
0.629 0.385 0.258
0.629 0.873 0.258
0.371 0.615 0.742
0.371 0.127 0.742
0.500 0.000 0.000

---

Record 18
PBE-GGA La2TaMnCd, relaxed; calculated volume = 33.296 Å³/atom; density of states at the Fermi level = 1.47 states/eV/atom; total DFT energy (no corrections) = -5.45 eV/atom; space-group type = P4/mmm, No. 123; ΔH_f (0 K) = 0.910 eV per atom
1.0
5.525 0.000 0.000
0.000 5.453 0.000
0.000 0.000 5.525
La Cd Mn Ta
2 1 1 1
Direct
0.500 0.000 0.000
0.000 0.000 0.500
0.000 0.500 0.000
0.500 0.500 0.500
0.000 0.000 0.000